NbHRu3: optimized geometry, GGA-PBE.

## Properties
D(E_F) (states/eV/f.u.): 6.90
Total energy (eV/atom): -6.99
Magnetic moment (μB per cell): 0.0
Space-group type: R3m (160)

Cell: 5.2003 5.2003 5.2003 Å, 59.08 59.08 59.08°
Element x y z (fractional)
Nb: 0.0000 0.0000 0.0000
H: 0.7534 0.7534 0.7534
Ru: 0.0151 0.0151 0.5011
Ru: 0.0151 0.5011 0.0151
Ru: 0.5011 0.0151 0.0151

NbHRu3: optimized geometry, GGA-PBE.

## Properties
D(E_F) (states/eV/f.u.): 4.29
Total energy (eV/atom): -8.32
Magnetic moment (μB per cell): 0.0
Space-group type: C2/m (12)

Cell: 8.5463 8.5463 3.9358 Å, 103.24 103.24 26.36°
Element x y z (fractional)
Nb: 0.0706 0.0706 0.3202
Nb: 0.9294 0.9294 0.6798
H: 0.3157 0.3157 0.0654
H: 0.6843 0.6843 0.9346
Ru: 0.1876 0.1876 0.9380
Ru: 0.3098 0.3098 0.5592
Ru: 0.4356 0.4356 0.1864
Ru: 0.5644 0.5644 0.8136
Ru: 0.6902 0.6902 0.4408
Ru: 0.8124 0.8124 0.0620

NbHRu3: optimized geometry, GGA-PBE.

## Properties
D(E_F) (states/eV/f.u.): 6.28
Total energy (eV/atom): -7.87
Magnetic moment (μB per cell): 0.0
Space-group type: I-4m2 (119)

Cell: 6.0840 6.0840 6.0840 Å, 128.86 128.86 75.24°
Element x y z (fractional)
Nb: 0.1488 0.1488 0.0000
Nb: 0.8512 0.8512 0.0000
H: 0.5000 0.5000 0.0000
H: 0.7500 0.2500 0.5000
Ru: 0.1255 0.3785 0.7470
Ru: 0.1259 0.6259 0.5000
Ru: 0.3741 0.8741 0.5000
Ru: 0.6215 0.3685 0.7470
Ru: 0.6215 0.8745 0.2530
Ru: 0.6315 0.3785 0.2530

Nb4HRu2: optimized geometry, GGA-PBE.

## Properties
D(E_F) (states/eV/f.u.): 5.25
Total energy (eV/atom): -8.85
Magnetic moment (μB per cell): 0.0
Space-group type: I4/mmm (139)

Cell: 7.6142 7.6142 7.6142 Å, 150.24 150.24 42.59°
Element x y z (fractional)
Nb: 0.0000 0.5000 0.5000
Nb: 0.1830 0.1830 0.0000
Nb: 0.5000 0.0000 0.5000
Nb: 0.8170 0.8170 0.0000
H: 0.0000 0.0000 0.0000
Ru: 0.3550 0.3550 0.0000
Ru: 0.6450 0.6450 0.0000

What did the fourth record say?
Nb4HRu2: optimized geometry, GGA-PBE.

## Properties
D(E_F) (states/eV/f.u.): 5.25
Total energy (eV/atom): -8.85
Magnetic moment (μB per cell): 0.0
Space-group type: I4/mmm (139)

Cell: 7.6142 7.6142 7.6142 Å, 150.24 150.24 42.59°
Element x y z (fractional)
Nb: 0.0000 0.5000 0.5000
Nb: 0.1830 0.1830 0.0000
Nb: 0.5000 0.0000 0.5000
Nb: 0.8170 0.8170 0.0000
H: 0.0000 0.0000 0.0000
Ru: 0.3550 0.3550 0.0000
Ru: 0.6450 0.6450 0.0000

> Which formula does entry 4 have?

Nb4HRu2